PrNdHgI | PBE | relaxed

mass density: 8.55 g/cm³
E_form (uncorrected): -0.52 eV/atom
DOS at the Fermi energy: 0.870 states/eV/atom
total DFT energy (no corrections): -3.374 eV per atom
V: 29.751 Å³ per atom
total magnetic moment: 0.00 μB/atom

abc: 5.521 5.521 5.521
angles: 60.00 60.00 60.00
Positions (direct):
Pr: 0.000 0.000 0.000
Nd: 0.500 0.500 0.500
Hg: 0.250 0.250 0.250
I: 0.750 0.750 0.750

=====

Nd6HgRh2I3 | PBE | relaxed

mass density: 7.10 g/cm³
E_form (uncorrected): -0.83 eV/atom
DOS at the Fermi energy: 0.668 states/eV/atom
total DFT energy (no corrections): -4.854 eV per atom
V: 32.219 Å³ per atom
total magnetic moment: 0.00 μB/atom

abc: 7.413 7.413 8.492
angles: 98.38 98.38 119.99
Positions (direct):
Nd: 0.075 0.435 0.807
Nd: 0.204 0.204 0.191
Nd: 0.435 0.075 0.807
Nd: 0.565 0.925 0.193
Nd: 0.796 0.796 0.809
Nd: 0.925 0.565 0.193
Hg: 0.500 0.500 0.000
Rh: 0.167 0.833 0.000
Rh: 0.833 0.167 0.000
I: 0.000 0.000 0.500
I: 0.337 0.663 0.500
I: 0.663 0.337 0.500

=====

Nd6HgRu2I3 | PBE | relaxed

mass density: 7.09 g/cm³
E_form (uncorrected): -0.69 eV/atom
DOS at the Fermi energy: 0.550 states/eV/atom
total DFT energy (no corrections): -5.031 eV per atom
V: 32.189 Å³ per atom
total magnetic moment: 0.00 μB/atom

abc: 7.379 7.379 8.540
angles: 98.27 98.27 119.87
Positions (direct):
Nd: 0.070 0.435 0.809
Nd: 0.197 0.197 0.189
Nd: 0.435 0.070 0.809
Nd: 0.565 0.930 0.191
Nd: 0.803 0.803 0.811
Nd: 0.930 0.565 0.191
Hg: 0.500 0.500 0.000
Ru: 0.167 0.833 0.000
Ru: 0.833 0.167 0.000
I: 0.000 0.000 0.500
I: 0.337 0.663 0.500
I: 0.663 0.337 0.500

=====

NdSmHgI | PBE | relaxed

mass density: 8.91 g/cm³
E_form (uncorrected): -0.50 eV/atom
DOS at the Fermi energy: 0.911 states/eV/atom
total DFT energy (no corrections): -3.332 eV per atom
V: 28.989 Å³ per atom
total magnetic moment: 0.00 μB/atom

abc: 5.474 5.474 5.474
angles: 60.00 60.00 60.00
Positions (direct):
Nd: 0.000 0.000 0.000
Sm: 0.500 0.500 0.500
Hg: 0.250 0.250 0.250
I: 0.750 0.750 0.750

=====

Ni2HgI6 | PBE | relaxed

mass density: 5.50 g/cm³
E_form (uncorrected): -0.11 eV/atom
total DFT energy (no corrections): -2.464 eV per atom
V: 36.232 Å³ per atom
total magnetic moment: 0.44 μB/atom

abc: 7.114 7.114 7.440
angles: 90.00 90.00 120.00
Positions (direct):
Ni: 0.333 0.667 0.000
Ni: 0.667 0.333 0.000
Hg: 0.000 0.000 0.000
I: 0.000 0.365 0.788
I: 0.000 0.635 0.212
I: 0.365 0.000 0.788
I: 0.365 0.365 0.212
I: 0.635 0.000 0.212
I: 0.635 0.635 0.788

=====

NiHg3I | PBE | relaxed

mass density: 9.44 g/cm³
E_form (uncorrected): 0.10 eV/atom
DOS at the Fermi energy: 0.439 states/eV/atom
total DFT energy (no corrections): -1.546 eV per atom
V: 27.697 Å³ per atom
total magnetic moment: 0.00 μB/atom

abc: 5.174 5.174 5.174
angles: 90.00 90.00 90.00
Positions (direct):
Ni: 0.000 0.000 0.000
Hg: 0.000 0.000 0.500
Hg: 0.000 0.500 0.000
Hg: 0.500 0.000 0.000
I: 0.500 0.500 0.500

=====

What is the total magnetic moment in the first record?
0.00 μB/atom

=====

What is the formula in the fifth record?
Ni2HgI6